# 1
! Ba3LaO4 | the Alexandria database | PBE | optimized geometry; values from VASP
&SYSTEM
  ibrav = 0, nat = 16, ntyp = 3
/
ATOMIC_SPECIES
Ba 137.33 Ba.upf
La 138.91 La.upf
O 16.00 O.upf
CELL_PARAMETERS angstrom
9.078 0.000 0.000
0.000 7.815 0.000
0.000 0.000 5.595
ATOMIC_POSITIONS crystal
Ba 0.000 0.165 0.000
Ba 0.247 0.338 0.501
Ba 0.253 0.662 0.001
Ba 0.500 0.835 0.500
Ba 0.747 0.662 0.001
Ba 0.753 0.338 0.501
La 0.000 0.825 0.483
La 0.500 0.175 0.983
O 0.000 0.125 0.506
O 0.000 0.832 0.061
O 0.231 0.694 0.505
O 0.269 0.306 0.005
O 0.500 0.168 0.561
O 0.500 0.875 0.006
O 0.731 0.306 0.005
O 0.769 0.694 0.505
! - SG = No. 31
! - energy relative to the lowest polymorph listed for this composition (meV per atom) = 0
! - size of the total moment (μB/cell) = 1.89
! - formation energy without anion corrections (eV/atom) = -2.563

# 2
! Hf2InPt | the Alexandria database | PBE | optimized geometry; values from VASP
&SYSTEM
  ibrav = 0, nat = 4, ntyp = 3
/
ATOMIC_SPECIES
Hf 178.49 Hf.upf
In 114.82 In.upf
Pt 195.08 Pt.upf
CELL_PARAMETERS angstrom
1.751 1.011 8.380
-1.751 1.011 8.380
0.000 -2.022 8.380
ATOMIC_POSITIONS crystal
Hf 0.238 0.238 0.238
Hf 0.762 0.762 0.762
In 0.000 0.000 0.000
Pt 0.500 0.500 0.500
! - energy of formation (eV/atom) = -0.39
! - SG = No. 166
! - size of the total moment (μB/cell) = 0.00

# 3
! Ac2TbCdHg6 | the Alexandria database | PBE | optimized geometry; values from VASP
&SYSTEM
  ibrav = 0, nat = 10, ntyp = 4
/
ATOMIC_SPECIES
Ac 227.00 Ac.upf
Tb 158.93 Tb.upf
Cd 112.41 Cd.upf
Hg 200.59 Hg.upf
CELL_PARAMETERS angstrom
0.000 5.513 5.513
5.513 0.000 5.513
5.513 5.513 0.000
ATOMIC_POSITIONS crystal
Ac 0.250 0.250 0.250
Ac 0.750 0.750 0.750
Tb 0.000 0.000 0.000
Cd 0.500 0.500 0.500
Hg 0.255 0.255 0.745
Hg 0.255 0.745 0.255
Hg 0.255 0.745 0.745
Hg 0.745 0.255 0.255
Hg 0.745 0.255 0.745
Hg 0.745 0.745 0.255
! - energy of formation (eV/atom) = -0.04
! - SG = No. 225
! - size of the total moment (μB/cell) = 0.00

# 4
! Ce3Pm2SmP6 | the Alexandria database | PBE | optimized geometry; values from VASP
&SYSTEM
  ibrav = 0, nat = 12, ntyp = 4
/
ATOMIC_SPECIES
Ce 140.12 Ce.upf
Pm 145.00 Pm.upf
Sm 150.36 Sm.upf
P 30.97 P.upf
CELL_PARAMETERS angstrom
3.554 -6.157 0.000
3.554 6.157 0.000
-2.370 0.000 6.700
ATOMIC_POSITIONS crystal
Ce 0.000 0.000 0.000
Ce 0.333 0.667 0.000
Ce 0.667 0.333 0.000
Pm 0.167 0.833 0.500
Pm 0.833 0.167 0.500
Sm 0.500 0.500 0.500
P 0.083 0.415 0.245
P 0.253 0.253 0.755
P 0.415 0.083 0.245
P 0.585 0.917 0.755
P 0.747 0.747 0.245
P 0.917 0.585 0.755
! - energy of formation (eV/atom) = -1.54
! - SG = No. 12
! - size of the total moment (μB/cell) = 1.44

# 5
! CeGaCo4H6 | the Alexandria database | PBE | optimized geometry; values from VASP
&SYSTEM
  ibrav = 0, nat = 12, ntyp = 4
/
ATOMIC_SPECIES
Ce 140.12 Ce.upf
Ga 69.72 Ga.upf
Co 58.93 Co.upf
H 1.01 H.upf
CELL_PARAMETERS angstrom
4.258 0.000 0.000
-2.129 3.687 0.000
0.000 0.000 6.624
ATOMIC_POSITIONS crystal
Ce 0.000 0.000 0.000
Ga 0.000 0.000 0.500
Co 0.333 0.667 0.321
Co 0.333 0.667 0.679
Co 0.667 0.333 0.321
Co 0.667 0.333 0.679
H 0.000 0.500 0.161
H 0.000 0.500 0.839
H 0.500 0.000 0.161
H 0.500 0.000 0.839
H 0.500 0.500 0.161
H 0.500 0.500 0.839
! - SG = No. 191
! - size of the total moment (μB/cell) = 2.82

# 6
! DyICl | the Alexandria database | PBE | optimized geometry; values from VASP
&SYSTEM
  ibrav = 0, nat = 6, ntyp = 3
/
ATOMIC_SPECIES
Dy 162.50 Dy.upf
I 126.90 I.upf
Cl 35.45 Cl.upf
CELL_PARAMETERS angstrom
3.955 0.000 0.000
-0.001 6.744 0.000
-1.824 -2.164 7.881
ATOMIC_POSITIONS crystal
Dy 0.250 0.240 0.001
Dy 0.750 0.760 0.999
I 0.126 0.827 0.732
I 0.874 0.173 0.268
Cl 0.338 0.644 0.192
Cl 0.662 0.356 0.808
! - SG = No. 2
! - energy relative to the lowest polymorph listed for this composition (meV per atom) = 0
! - size of the total moment (μB/cell) = 0.00
! - formation energy without anion corrections (eV/atom) = -1.554

# 7
! MoAs2 | the Alexandria database | PBE | optimized geometry; values from VASP
&SYSTEM
  ibrav = 0, nat = 6, ntyp = 2
/
ATOMIC_SPECIES
Mo 95.94 Mo.upf
As 74.92 As.upf
CELL_PARAMETERS angstrom
5.788 0.000 0.000
0.000 6.506 0.000
0.000 0.000 3.023
ATOMIC_POSITIONS crystal
Mo 0.000 0.000 0.000
Mo 0.500 0.500 0.500
As 0.181 0.367 0.000
As 0.319 0.867 0.500
As 0.681 0.133 0.500
As 0.819 0.633 0.000
! - energy of formation (eV/atom) = -0.01
! - SG = No. 58
! - size of the total moment (μB/cell) = 0.00

# 8
! Y2CuRuC | the Alexandria database | PBE | optimized geometry; values from VASP
&SYSTEM
  ibrav = 0, nat = 5, ntyp = 4
/
ATOMIC_SPECIES
Y 88.91 Y.upf
Cu 63.55 Cu.upf
Ru 101.07 Ru.upf
C 12.01 C.upf
CELL_PARAMETERS angstrom
4.948 0.000 0.000
0.000 4.948 0.000
0.000 0.000 3.864
ATOMIC_POSITIONS crystal
Y 0.000 0.500 0.000
Y 0.500 0.000 0.000
Cu 0.000 0.000 0.500
Ru 0.500 0.500 0.500
C 0.500 0.500 0.000
! - energy of formation (eV/atom) = -0.31
! - SG = No. 123
! - size of the total moment (μB/cell) = 0.00

# 9
! Pr2NdAu2 | the Alexandria database | PBE | optimized geometry; values from VASP
&SYSTEM
  ibrav = 0, nat = 5, ntyp = 3
/
ATOMIC_SPECIES
Pr 140.91 Pr.upf
Nd 144.24 Nd.upf
Au 196.97 Au.upf
CELL_PARAMETERS angstrom
2.589 1.495 5.980
-2.589 1.495 5.980
0.000 -2.990 5.980
ATOMIC_POSITIONS crystal
Pr 0.219 0.219 0.219
Pr 0.781 0.781 0.781
Nd 0.000 0.000 0.000
Au 0.412 0.412 0.412
Au 0.588 0.588 0.588
! - energy of formation (eV/atom) = -0.54
! - SG = No. 166
! - energy relative to the lowest polymorph listed for this composition (meV per atom) = 87
! - size of the total moment (μB/cell) = 0.00

# 10
! Ga3Sb7S8Cl14 | the Alexandria database | PBE | optimized geometry; values from VASP
&SYSTEM
  ibrav = 0, nat = 64, ntyp = 4
/
ATOMIC_SPECIES
Ga 69.72 Ga.upf
Sb 121.76 Sb.upf
S 32.06 S.upf
Cl 35.45 Cl.upf
CELL_PARAMETERS angstrom
9.401 0.000 0.000
0.000 12.494 0.000
-0.269 0.000 17.660
ATOMIC_POSITIONS crystal
Ga 0.196 0.000 0.468
Ga 0.217 0.966 0.029
Ga 0.260 0.459 0.258
Ga 0.740 0.959 0.742
Ga 0.783 0.466 0.971
Ga 0.804 0.500 0.532
Sb 0.082 0.209 0.841
Sb 0.099 0.748 0.666
Sb 0.216 0.480 0.747
Sb 0.257 0.206 0.645
Sb 0.269 0.743 0.867
Sb 0.453 0.271 0.840
Sb 0.476 0.697 0.682
Sb 0.524 0.197 0.318
Sb 0.547 0.771 0.160
Sb 0.731 0.243 0.133
Sb 0.743 0.706 0.355
Sb 0.784 0.980 0.253
Sb 0.901 0.248 0.334
Sb 0.918 0.709 0.159
S 0.042 0.275 0.709
S 0.059 0.668 0.796
S 0.232 0.370 0.884
S 0.268 0.601 0.620
S 0.306 0.111 0.812
S 0.315 0.849 0.708
S 0.427 0.590 0.805
S 0.428 0.351 0.707
S 0.572 0.851 0.293
S 0.573 0.090 0.195
S 0.685 0.349 0.292
S 0.694 0.611 0.188
S 0.732 0.101 0.380
S 0.768 0.870 0.116
S 0.941 0.168 0.204
S 0.958 0.775 0.291
Cl 0.023 0.454 0.255
Cl 0.049 0.069 0.552
Cl 0.067 0.895 0.944
Cl 0.120 0.045 0.353
Cl 0.163 0.905 0.143
Cl 0.202 0.141 0.024
Cl 0.206 0.827 0.483
Cl 0.220 0.333 0.545
Cl 0.232 0.629 0.975
Cl 0.305 0.613 0.201
Cl 0.344 0.321 0.193
Cl 0.345 0.448 0.372
Cl 0.408 0.074 0.485
Cl 0.433 0.912 0.001
Cl 0.567 0.412 0.999
Cl 0.592 0.574 0.515
Cl 0.655 0.948 0.628
Cl 0.656 0.821 0.807
Cl 0.695 0.113 0.799
Cl 0.768 0.129 0.025
Cl 0.780 0.833 0.455
Cl 0.794 0.327 0.517
Cl 0.798 0.641 0.976
Cl 0.837 0.405 0.857
Cl 0.880 0.545 0.647
Cl 0.933 0.395 0.056
Cl 0.951 0.569 0.448
Cl 0.977 0.954 0.745
! - SG = No. 4
! - size of the total moment (μB/cell) = 0.00
! - formation energy without anion corrections (eV/atom) = -0.735

# 11
! Cr4Ni2N | the Alexandria database | PBE | optimized geometry; values from VASP
&SYSTEM
  ibrav = 0, nat = 28, ntyp = 3
/
ATOMIC_SPECIES
Cr 52.00 Cr.upf
Ni 58.69 Ni.upf
N 14.01 N.upf
CELL_PARAMETERS angstrom
0.000 5.270 5.270
5.270 0.000 5.270
5.270 5.270 0.000
ATOMIC_POSITIONS crystal
Cr 0.000 0.000 0.000
Cr 0.000 0.000 0.500
Cr 0.000 0.500 0.000
Cr 0.181 0.181 0.569
Cr 0.181 0.569 0.181
Cr 0.181 0.569 0.569
Cr 0.431 0.431 0.819
Cr 0.431 0.819 0.431
Cr 0.431 0.819 0.819
Cr 0.500 0.000 0.000
Cr 0.569 0.181 0.181
Cr 0.569 0.181 0.569
Cr 0.569 0.569 0.181
Cr 0.819 0.431 0.431
Cr 0.819 0.431 0.819
Cr 0.819 0.819 0.431
Ni 0.131 0.790 0.790
Ni 0.210 0.210 0.210
Ni 0.210 0.210 0.869
Ni 0.210 0.869 0.210
Ni 0.790 0.131 0.790
Ni 0.790 0.790 0.131
Ni 0.790 0.790 0.790
Ni 0.869 0.210 0.210
N 0.000 0.500 0.500
N 0.500 0.000 0.500
N 0.500 0.500 0.000
N 0.500 0.500 0.500
! - SG = No. 227
! - size of the total moment (μB/cell) = 0.00
! - formation energy without anion corrections (eV/atom) = -0.131

# 12
! HfIn2Br4Cl2 | the Alexandria database | PBE | optimized geometry; values from VASP
&SYSTEM
  ibrav = 0, nat = 9, ntyp = 4
/
ATOMIC_SPECIES
Hf 178.49 Hf.upf
In 114.82 In.upf
Br 79.90 Br.upf
Cl 35.45 Cl.upf
CELL_PARAMETERS angstrom
6.419 -3.789 0.000
6.419 3.789 0.000
-4.490 0.000 6.225
ATOMIC_POSITIONS crystal
Hf 0.000 0.000 0.000
In 0.245 0.245 0.763
In 0.755 0.755 0.237
Br 0.198 0.708 0.190
Br 0.292 0.802 0.810
Br 0.708 0.198 0.190
Br 0.802 0.292 0.810
Cl 0.226 0.226 0.305
Cl 0.774 0.774 0.695
! - SG = No. 12
! - size of the total moment (μB/cell) = 0.00
! - formation energy without anion corrections (eV/atom) = -1.211

Number 1: calculated total energy -6.379 eV per atom. Number 2: calculated total energy -7.560 eV per atom. Number 3: calculated total energy -1.599 eV per atom. Number 4: calculated total energy -6.915 eV per atom. Number 5: calculated total energy -5.012 eV per atom. Number 6: calculated total energy -4.220 eV per atom. Number 7: calculated total energy -6.724 eV per atom. Number 8: calculated total energy -7.415 eV per atom. Number 9: calculated total energy -4.713 eV per atom. Number 10: calculated total energy -3.760 eV per atom. Number 11: calculated total energy -8.472 eV per atom. Number 12: calculated total energy -4.079 eV per atom.